No. 1
First-principles (PBE) data for a relaxed structure of GdTm2Al3Cu2Ni, as listed in the Open Quantum Materials Database.

Summary:
VASP energy = -4.72 eV per atom
Calculated volume = 166.5 Å³/f.u.

a = 3.9841 Å, b = 6.9420 Å, c = 6.9420 Å
α = 119.86°, β = 90.00°, γ = 90.00°
Last column: nearest neighbours and their distance in Å.
Fractional positions:
Cu  0.5000  0.3312  0.6721  3 Al 2.68-2.77, 4 Tm 2.87-2.89, 2 Gd 2.92
Al  0.5000  0.2307  0.9980  2 Ni 2.57, 2 Cu 2.68-2.77, 2 Al 2.77-2.80
Tm  0.0000  0.5900  0.0010  1 Ni 2.83, 4 Cu 2.87-2.89, 2 Al 3.17
Gd  0.0000  0.4125  0.4125  1 Ni 2.91, 4 Cu 2.92, 6 Al 3.19-3.20
Ni  0.0000  0.9949  0.9949  6 Al 2.53-2.57, 2 Tm 2.83
Al  0.5000  0.7698  0.7698  2 Ni 2.53, 2 Cu 2.77, 2 Al 2.77
Tm  0.0000  0.0010  0.5900  1 Ni 2.83, 4 Cu 2.87-2.89, 2 Al 3.17
Cu  0.5000  0.6721  0.3312  3 Al 2.68-2.77, 4 Tm 2.87-2.89, 2 Gd 2.92
Al  0.5000  0.9980  0.2307  2 Ni 2.57, 2 Cu 2.68-2.77, 2 Al 2.77-2.80

---

No. 2
First-principles (PBE) data for a relaxed structure of Nb2S3, as listed in the Open Quantum Materials Database.

Summary:
VASP energy = -7.43 eV per atom
Calculated volume = 102.4 Å³/f.u.

a = 13.9411 Å, b = 3.3775 Å, c = 8.6957 Å
α = 90.00°, β = 90.00°, γ = 90.00°
Last column: nearest neighbours and their distance in Å.
Fractional positions:
Nb  0.5829  0.7500  0.5396  5 S 2.46-2.61
S  0.0823  0.2500  0.1810  5 Nb 2.55-2.61
Nb  0.4723  0.7500  0.1882  6 S 2.49-2.56
S  0.8167  0.7500  0.1688  3 Nb 2.46-2.50
S  0.1833  0.2500  0.8312  3 Nb 2.46-2.50
Nb  0.9723  0.7500  0.3118  6 S 2.49-2.56
S  0.3962  0.2500  0.0172  3 Nb 2.49-2.56
S  0.9177  0.7500  0.8190  5 Nb 2.55-2.61
Nb  0.0829  0.7500  0.9604  5 S 2.46-2.61
S  0.5822  0.2500  0.3190  5 Nb 2.55-2.61
Nb  0.9171  0.2500  0.0396  5 S 2.46-2.61
S  0.4178  0.7500  0.6810  5 Nb 2.55-2.61
Nb  0.4171  0.2500  0.4604  5 S 2.46-2.61
S  0.1038  0.7500  0.5172  3 Nb 2.49-2.56
Nb  0.0277  0.2500  0.6882  6 S 2.49-2.56
Nb  0.5277  0.2500  0.8118  6 S 2.49-2.56
S  0.8962  0.2500  0.4828  3 Nb 2.49-2.56
S  0.3167  0.7500  0.3312  3 Nb 2.46-2.50
S  0.6038  0.7500  0.9828  3 Nb 2.49-2.56
S  0.6833  0.2500  0.6688  3 Nb 2.46-2.50

---

- Look up the calculated volume of the second one.
  102.4 Å³/f.u.

---

- What is the calculated volume in the first record?
  166.5 Å³/f.u.

---

- Which of these has the lowest VASP energy?
  Nb2S3

---

- Which of these has the highest VASP energy?
  GdTm2Al3Cu2Ni